DFT (PBE with a Hubbard U) results for crystalline CrInAsO6 at its relaxed geometry.

Cell and atoms, written as POSCAR:
```
CrInAsO6
1.0
4.623 0.000 0.000
0.000 4.623 0.000
0.000 0.000 9.174
O In As Cr
12 2 2 2
direct
0.215 0.785 0.846 O
0.677 0.677 0.673 O
0.785 0.215 0.846 O
0.285 0.285 0.346 O
0.202 0.798 0.482 O
0.177 0.823 0.173 O
0.702 0.702 0.982 O
0.323 0.323 0.673 O
0.823 0.177 0.173 O
0.715 0.715 0.346 O
0.798 0.202 0.482 O
0.298 0.298 0.982 O
0.500 0.500 0.168 In
0.000 0.000 0.668 In
0.000 0.000 0.332 As
0.500 0.500 0.832 As
0.000 0.000 0.999 Cr
0.500 0.500 0.499 Cr
```

Summary:
**Magnetization**: 4.00 μB/cell
**Space-group type**: P4_2nm (102)
**Fermi-level density of states**: 0.4 states/eV/f.u.
**Electronic total energy**: -6.31 eV per atom